[1]
This record from Alexandria describes a geometry-optimized Y3AgRu structure. The functional is PBE.

```
data_Y3AgRu
_space_group_name_H-M_alt 'C 1 2/m 1'
_space_group_IT_number 12
_cell_length_a 6.454
_cell_length_b 15.526
_cell_length_c 5.639
_cell_angle_alpha 90.00
_cell_angle_beta 118.15
_cell_angle_gamma 90.00
loop_
_space_group_symop_operation_xyz
'x,y,z'
'-x,-y,-z'
'-x,y,-z'
'x,-y,z'
'x+1/2,y+1/2,z'
'-x+1/2,-y+1/2,-z'
'-x+1/2,y+1/2,-z'
'x+1/2,-y+1/2,z'
loop_
_atom_site_label
_atom_site_type_symbol
_atom_site_fract_x
_atom_site_fract_y
_atom_site_fract_z
Y1 Y 0.000 0.192 0.000
Y2 Y 0.192 0.390 0.361
Ag1 Ag 0.234 0.000 0.078
Ru1 Ru 0.000 0.250 0.500
```

Calculated values
M_tot = 0.00 Bohr magnetons per cell
ΔH_f (0 K) = -7.4 kcal/mol of atoms

=====

[2]
This record from Alexandria describes a geometry-optimized PmSc2Ge structure. The functional is PBE.

```
data_PmSc2Ge
_space_group_name_H-M_alt 'P 4/m m m'
_space_group_IT_number 123
_space_group_name_Hall '-P 4 2'
_cell_length_a 4.519
_cell_length_b 4.519
_cell_length_c 4.493
_cell_angle_alpha 90.00
_cell_angle_beta 90.00
_cell_angle_gamma 90.00
loop_
_atom_site_label
_atom_site_type_symbol
_atom_site_fract_x
_atom_site_fract_y
_atom_site_fract_z
Pm1 Pm 0.000 0.000 0.000
Sc1 Sc 0.000 0.500 0.500
Ge1 Ge 0.500 0.500 0.000
```

Calculated values
M_tot = 0.53 Bohr magnetons per cell
ΔH_f (0 K) = -8.0 kcal/mol of atoms